Compound: Zr3GaMo
Source: Alexandria
Functional: GGA-PBE
Structure: relaxed

- Total DFT energy (no corrections): -6.97 eV per atom
- Density: 6.09 g/cm³
- Space-group type: Pm-3m (221)
- Energy of formation: 0.9331 eV per atom
- D(E_F): 8.35 states/eV/cell

abc: 4.9302 4.9302 4.9302
angles: 90.00 90.00 90.00
Positions (direct):
Zr 0.0000 0.0000 0.5000
Zr 0.0000 0.5000 0.0000
Zr 0.5000 0.0000 0.0000
Ga 0.0000 0.0000 0.0000
Mo 0.5000 0.5000 0.5000